[1]
Entry from Alexandria via LeMat-Bulk: Al5Co4Ru after structural relaxation (PBE).

```
Al5Co4Ru
1.0
2.893 0.000 0.000
0.000 2.893 0.000
0.000 0.000 14.397
Al Co Ru
5 4 1
direct
0.000 0.000 0.000
0.000 0.000 0.197
0.000 0.000 0.394
0.000 0.000 0.606
0.000 0.000 0.803
0.500 0.500 0.098
0.500 0.500 0.293
0.500 0.500 0.707
0.500 0.500 0.902
0.500 0.500 0.500
```

Computed properties:
The total energy comes out at -6.254 eV per atom. Its space-group type is No. 123. For the magnetic moment, the calculation gives 0.00 μB/cell. As for the formation energy: -59.1 kJ per mole of atoms.

---

[2]
Entry from Alexandria via LeMat-Bulk: TmTlP after structural relaxation (PBE).

```
TmTlP
1.0
3.856 0.000 0.000
0.000 3.872 0.000
0.000 0.000 5.401
Tm Tl P
1 1 1
direct
0.000 0.000 0.000
0.500 0.000 0.500
0.500 0.500 0.000
```

Computed properties:
The total energy comes out at -4.702 eV per atom. Its space-group type is No. 47. For the magnetic moment, the calculation gives 0.00 μB/cell. As for the formation energy: -59.8 kJ per mole of atoms.

---

[3]
Entry from Alexandria via LeMat-Bulk: CsCeVSe4 after structural relaxation (PBE).

```
CsCeVSe4
1.0
6.856 0.000 0.000
0.000 6.933 0.000
-3.150 0.000 9.435
Cs Ce V Se
2 2 2 8
direct
0.238 0.250 0.439
0.762 0.750 0.561
0.268 0.250 0.953
0.732 0.750 0.047
0.280 0.750 0.165
0.720 0.250 0.835
0.080 0.750 0.317
0.081 0.750 0.927
0.486 0.508 0.799
0.486 0.992 0.799
0.514 0.008 0.201
0.514 0.492 0.201
0.919 0.250 0.073
0.920 0.250 0.683
```

Computed properties:
The total energy comes out at -5.510 eV per atom. Its space-group type is No. 11. For the magnetic moment, the calculation gives 4.00 μB/cell.

---

[4]
Entry from Alexandria via LeMat-Bulk: KTaCr4 after structural relaxation (PBE).

```
KTaCr4
1.0
0.000 3.576 3.576
3.576 0.000 3.576
3.576 3.576 0.000
K Ta Cr
1 1 4
direct
0.000 0.000 0.000
0.750 0.750 0.750
0.374 0.374 0.374
0.374 0.374 0.878
0.374 0.878 0.374
0.878 0.374 0.374
```

Computed properties:
The total energy comes out at -7.470 eV per atom. Its space-group type is No. 216. For the magnetic moment, the calculation gives 0.00 μB/cell. As for the formation energy: 106.5 kJ per mole of atoms.

---

[5]
Entry from Alexandria via LeMat-Bulk: ZrCr2Si after structural relaxation (PBE).

```
ZrCr2Si
1.0
0.000 3.076 3.076
3.076 0.000 3.076
3.076 3.076 0.000
Zr Cr Si
1 2 1
direct
0.000 0.000 0.000
0.250 0.250 0.250
0.750 0.750 0.750
0.500 0.500 0.500
```

Computed properties:
The total energy comes out at -8.396 eV per atom. Its space-group type is No. 225. For the magnetic moment, the calculation gives 3.91 μB/cell.

---

[6]
Entry from Alexandria via LeMat-Bulk: In2AgIr after structural relaxation (PBE).

```
In2AgIr
1.0
3.097 0.000 0.000
0.000 4.836 0.000
0.000 0.000 4.941
In Ag Ir
2 1 1
direct
0.000 0.000 0.000
0.000 0.500 0.428
0.500 0.000 0.511
0.500 0.500 0.919
```

Computed properties:
The total energy comes out at -4.246 eV per atom. Its space-group type is No. 25. For the magnetic moment, the calculation gives 0.00 μB/cell. As for the formation energy: 4.9 kJ per mole of atoms.

---

[7]
Entry from Alexandria via LeMat-Bulk: KLiFe2 after structural relaxation (PBE).

```
KLiFe2
1.0
4.663 -1.409 0.000
4.663 1.409 0.000
-0.373 0.000 6.916
K Li Fe
1 1 2
direct
0.000 0.000 0.000
0.500 0.500 0.500
0.241 0.241 0.628
0.759 0.759 0.372
```

Computed properties:
The calculation puts the energy above the lowest structure with this stoichiometry at 169.8 meV/atom. The total energy comes out at -4.271 eV per atom. Its space-group type is No. 12. For the magnetic moment, the calculation gives 5.70 μB/cell. As for the formation energy: 68.8 kJ per mole of atoms.

---

[8]
Entry from Alexandria via LeMat-Bulk: SnHgPb4 after structural relaxation (PBE).

```
SnHgPb4
1.0
5.807 0.000 0.000
0.000 6.790 0.000
-1.400 0.000 9.155
Sn Hg Pb
2 2 8
direct
0.218 0.250 0.402
0.782 0.750 0.598
0.288 0.250 0.079
0.712 0.750 0.921
0.221 0.750 0.061
0.249 0.750 0.418
0.273 0.006 0.741
0.273 0.494 0.741
0.727 0.506 0.259
0.727 0.994 0.259
0.751 0.250 0.582
0.779 0.250 0.939
```

Computed properties:
The calculation puts the energy above the lowest structure with this stoichiometry at 24.1 meV/atom. The total energy comes out at -3.137 eV per atom. Its space-group type is No. 11. For the magnetic moment, the calculation gives 0.00 μB/cell. As for the formation energy: 5.1 kJ per mole of atoms.

---

[9]
Entry from Alexandria via LeMat-Bulk: CoHg2As after structural relaxation (PBE).

```
CoHg2As
1.0
2.920 0.000 0.000
0.000 2.992 0.000
-0.005 0.000 9.132
Co Hg As
1 2 1
direct
0.000 0.000 0.000
0.501 0.500 0.781
0.504 0.000 0.465
0.500 0.500 0.137
```

Computed properties:
The total energy comes out at -3.007 eV per atom. Its space-group type is No. 6. For the magnetic moment, the calculation gives 0.35 μB/cell. As for the formation energy: 8.0 kJ per mole of atoms.

---

[10]
Entry from Alexandria via LeMat-Bulk: ZrScPb2 after structural relaxation (PBE).

```
ZrScPb2
1.0
3.378 0.000 0.000
0.000 4.317 0.000
-0.991 0.000 6.680
Zr Sc Pb
1 1 2
direct
0.000 0.000 0.000
0.000 0.000 0.500
0.498 0.500 0.750
0.502 0.500 0.250
```

Computed properties:
The calculation puts the energy above the lowest structure with this stoichiometry at 53.9 meV/atom. The total energy comes out at -5.785 eV per atom. Its space-group type is No. 10. For the magnetic moment, the calculation gives 0.16 μB/cell. As for the formation energy: -20.4 kJ per mole of atoms.

---

[11]
Entry from Alexandria via LeMat-Bulk: MnTcAsRh after structural relaxation (PBE).

```
MnTcAsRh
1.0
0.000 3.043 3.043
3.043 0.000 3.043
3.043 3.043 0.000
Mn Tc As Rh
1 1 1 1
direct
0.000 0.000 0.000
0.750 0.750 0.750
0.500 0.500 0.500
0.250 0.250 0.250
```

Computed properties:
The total energy comes out at -8.056 eV per atom. Its space-group type is No. 216. For the magnetic moment, the calculation gives 3.89 μB/cell. As for the formation energy: -16.6 kJ per mole of atoms.

---

[12]
Entry from Alexandria via LeMat-Bulk: Al4CoSe2 after structural relaxation (PBE).

```
Al4CoSe2
1.0
-2.191 2.191 7.447
2.191 -2.191 7.447
2.191 2.191 -7.447
Al Co Se
4 1 2
direct
0.000 0.500 0.500
0.155 0.155 0.000
0.500 0.000 0.500
0.845 0.845 0.000
0.000 0.000 0.000
0.316 0.316 0.000
0.684 0.684 0.000
```

Computed properties:
The total energy comes out at -4.393 eV per atom. Its space-group type is No. 139. For the magnetic moment, the calculation gives 0.00 μB/cell.

---

[13]
Entry from Alexandria via LeMat-Bulk: AlSn2B2Rh5 after structural relaxation (PBE).

```
AlSn2B2Rh5
1.0
9.500 0.000 0.000
0.000 9.500 0.000
0.000 0.000 3.072
Al Sn B Rh
2 4 4 10
direct
0.000 0.000 0.000
0.500 0.500 0.000
0.176 0.324 0.000
0.324 0.824 0.000
0.676 0.176 0.000
0.824 0.676 0.000
0.125 0.625 0.000
0.375 0.125 0.000
0.625 0.875 0.000
0.875 0.375 0.000
0.000 0.500 0.500
0.074 0.786 0.500
0.214 0.074 0.500
0.286 0.574 0.500
0.426 0.286 0.500
0.500 0.000 0.500
0.574 0.714 0.500
0.714 0.426 0.500
0.786 0.926 0.500
0.926 0.214 0.500
```

Computed properties:
The total energy comes out at -6.558 eV per atom. Its space-group type is No. 127. For the magnetic moment, the calculation gives 0.00 μB/cell. As for the formation energy: -35.9 kJ per mole of atoms.

---

[14]
Entry from Alexandria via LeMat-Bulk: Sm7InSn5 after structural relaxation (PBE).

```
Sm7InSn5
1.0
-3.165 5.728 5.372
3.165 -5.728 5.372
3.165 5.728 -5.372
Sm In Sn
7 1 5
direct
0.000 0.000 0.000
0.284 0.616 0.668
0.380 0.380 0.000
0.437 0.099 0.337
0.762 0.099 0.663
0.845 0.345 0.500
0.948 0.616 0.332
0.685 0.685 0.000
0.103 0.111 0.491
0.103 0.612 0.991
0.354 0.854 0.500
0.621 0.111 0.009
0.621 0.612 0.509
```

Computed properties:
The total energy comes out at -4.771 eV per atom. Its space-group type is No. 44. For the magnetic moment, the calculation gives 0.00 μB/cell. As for the formation energy: -46.3 kJ per mole of atoms.

---

[15]
Entry from Alexandria via LeMat-Bulk: Li8TlAg2 after structural relaxation (PBE).

```
Li8TlAg2
1.0
3.772 -6.471 0.000
3.772 6.471 0.000
-2.379 0.000 4.161
Li Tl Ag
8 1 2
direct
0.090 0.327 0.638
0.218 0.782 0.000
0.327 0.090 0.638
0.404 0.404 0.193
0.596 0.596 0.807
0.673 0.910 0.362
0.782 0.218 0.000
0.910 0.673 0.362
0.000 0.000 0.000
0.313 0.687 0.500
0.687 0.313 0.500
```

Computed properties:
The calculation puts the energy above the lowest structure with this stoichiometry at 73.6 meV/atom. The total energy comes out at -2.227 eV per atom. Its space-group type is No. 12. For the magnetic moment, the calculation gives 0.00 μB/cell. As for the formation energy: -9.8 kJ per mole of atoms.

---

[16]
Entry from Alexandria via LeMat-Bulk: SiP2RuN after structural relaxation (PBE).

```
SiP2RuN
1.0
4.686 -1.493 0.000
4.686 1.493 0.000
-3.275 0.000 4.977
Si P Ru N
1 2 1 1
direct
0.000 0.000 0.000
0.047 0.047 0.445
0.773 0.773 0.068
0.303 0.303 0.385
0.446 0.446 0.823
```

Computed properties:
The calculation puts the energy above the lowest structure with this stoichiometry at 231.2 meV/atom. The total energy comes out at -6.864 eV per atom. Its space-group type is No. 8. For the magnetic moment, the calculation gives 0.00 μB/cell.

---

[17]
Entry from Alexandria via LeMat-Bulk: CoAg3P after structural relaxation (PBE).

```
CoAg3P
1.0
4.754 0.000 0.000
0.000 4.754 0.000
0.000 0.000 4.754
Co Ag P
1 3 1
direct
0.000 0.000 0.000
0.000 0.000 0.500
0.000 0.500 0.000
0.500 0.000 0.000
0.500 0.500 0.500
```

Computed properties:
The calculation puts the energy above the lowest structure with this stoichiometry at 380.7 meV/atom. The total energy comes out at -3.015 eV per atom. Its space-group type is No. 221. For the magnetic moment, the calculation gives 2.20 μB/cell. As for the formation energy: 115.7 kJ per mole of atoms.

---

[18]
Entry from Alexandria via LeMat-Bulk: Zr2AlV after structural relaxation (PBE).

```
Zr2AlV
1.0
3.453 0.000 0.000
0.000 3.453 0.000
0.000 0.000 6.391
Zr Al V
2 1 1
direct
0.000 0.000 0.241
0.000 0.000 0.759
0.500 0.500 0.500
0.500 0.500 0.000
```

Computed properties:
The total energy comes out at -7.649 eV per atom. Its space-group type is No. 123. For the magnetic moment, the calculation gives 1.59 μB/cell. As for the formation energy: -15.4 kJ per mole of atoms.

---

[19]
Entry from Alexandria via LeMat-Bulk: SiIr2Rh after structural relaxation (PBE).

```
SiIr2Rh
1.0
2.759 0.000 0.000
0.000 3.725 0.000
0.000 0.000 5.436
Si Ir Rh
1 2 1
direct
0.000 0.000 0.000
0.000 0.000 0.506
0.500 0.500 0.255
0.500 0.500 0.770
```

Computed properties:
The total energy comes out at -7.766 eV per atom. Its space-group type is No. 25. For the magnetic moment, the calculation gives 0.00 μB/cell.

---

[20]
Entry from Alexandria via LeMat-Bulk: ZrCdH2 after structural relaxation (PBE).

```
ZrCdH2
1.0
0.000 2.888 2.888
2.888 0.000 2.888
2.888 2.888 0.000
Zr Cd H
1 1 2
direct
0.000 0.000 0.000
0.500 0.500 0.500
0.250 0.250 0.250
0.750 0.750 0.750
```

Computed properties:
The calculation puts the energy above the lowest structure with this stoichiometry at 282.7 meV/atom. The total energy comes out at -3.806 eV per atom. Its space-group type is No. 225. For the magnetic moment, the calculation gives 0.00 μB/cell.